[1]
# CaZrBr

An optimized crystal structure of CaZrBr (GGA-PBEsol, Alexandria via LeMat-Bulk).

a = 3.672 Å, b = 4.843 Å, c = 4.843 Å
α = 120.00°, β = 90.00°, γ = 90.00°
Sites, in units of the cell vectors:
Br 0.500 0.000 0.000
Zr 0.500 0.667 0.333
Ca 0.000 0.333 0.667

Calculated values
The formation energy from raw total energies is -81 meV/atom. As for the space group: No. 187.


[2]
# AlCoAsH2

An optimized crystal structure of AlCoAsH2 (GGA-PBEsol, Alexandria via LeMat-Bulk).

a = 3.462 Å, b = 3.462 Å, c = 4.742 Å
α = 90.00°, β = 90.00°, γ = 90.00°
Site moments in Bohr magnetons follow the coordinates.
Sites, in units of the cell vectors:
H 0.000 0.500 0.000  0.00
As 0.500 0.500 0.500  0.01
H 0.500 0.000 0.000  0.00
Co 0.000 0.000 0.000  0.19
Al 0.000 0.000 0.500  0.00

Calculated values
As for the space group: No. 123.


[3]
# Zr2CdHg

An optimized crystal structure of Zr2CdHg (GGA-PBEsol, Alexandria via LeMat-Bulk).

a = 3.078 Å, b = 3.078 Å, c = 8.635 Å
α = 90.00°, β = 90.00°, γ = 90.00°
Sites, in units of the cell vectors:
Zr 0.000 0.000 0.747
Zr 0.000 0.000 0.253
Hg 0.500 0.500 0.500
Cd 0.500 0.500 0.000

Calculated values
Its formation energy is -0.889 eV/f.u. As for the space group: No. 123.


[4]
# BaErAgS3

An optimized crystal structure of BaErAgS3 (GGA-PBEsol, Alexandria via LeMat-Bulk).

a = 3.993 Å, b = 8.381 Å, c = 8.860 Å
α = 101.94°, β = 103.02°, γ = 90.00°
Sites, in units of the cell vectors:
S 0.677 0.303 0.354
S 0.325 0.129 0.650
S 0.323 0.697 0.646
Ag 0.475 0.790 0.951
Ba 0.135 0.573 0.271
Er 0.837 0.919 0.673
S 0.675 0.871 0.350
Ba 0.865 0.427 0.729
S 0.500 0.500 0.000
S 0.000 0.000 0.000
Ag 0.525 0.210 0.049
Er 0.163 0.081 0.327

Calculated values
The formation energy from raw total energies is -1639 meV/atom. As for the space group: No. 12.


[5]
# ZnCoAg2

An optimized crystal structure of ZnCoAg2 (GGA-PBEsol, Alexandria via LeMat-Bulk).

a = 2.688 Å, b = 4.760 Å, c = 4.760 Å
α = 110.61°, β = 90.00°, γ = 90.00°
Site moments in Bohr magnetons follow the coordinates.
Sites, in units of the cell vectors:
Co 0.500 0.000 0.000  1.56
Ag 0.000 0.000 0.500  -0.02
Ag 0.000 0.500 0.000  -0.02
Zn 0.500 0.500 0.500  -0.01

Calculated values
Its formation energy is 0.868 eV/f.u. As for the space group: No. 65.


[6]
# CaTi3Fe

An optimized crystal structure of CaTi3Fe (GGA-PBEsol, Alexandria via LeMat-Bulk).

a = 4.450 Å, b = 4.450 Å, c = 4.450 Å
α = 90.00°, β = 90.00°, γ = 90.00°
Site moments in Bohr magnetons follow the coordinates.
Sites, in units of the cell vectors:
Ca 0.000 0.000 0.000  -0.08
Ti 0.000 0.500 0.000  -0.44
Fe 0.500 0.500 0.500  2.89
Ti 0.500 0.000 0.000  -0.44
Ti 0.000 0.000 0.500  -0.44

Calculated values
Its formation energy is 9.593 eV/f.u. As for the space group: No. 221.


[7]
# TaPd2Au

An optimized crystal structure of TaPd2Au (GGA-PBEsol, Alexandria via LeMat-Bulk).

a = 4.461 Å, b = 4.461 Å, c = 4.461 Å
α = 60.00°, β = 60.00°, γ = 60.00°
Sites, in units of the cell vectors:
Pd 0.250 0.250 0.250
Pd 0.750 0.750 0.750
Au 0.500 0.500 0.500
Ta 0.000 0.000 0.000

Calculated values
Its formation energy is -0.938 eV/f.u. As for the space group: No. 225.


[8]
# CuHgTe2

An optimized crystal structure of CuHgTe2 (GGA-PBEsol, Alexandria via LeMat-Bulk).

a = 4.850 Å, b = 4.850 Å, c = 3.847 Å
α = 90.00°, β = 90.00°, γ = 90.00°
Sites, in units of the cell vectors:
Te 0.500 0.000 0.000
Cu 0.500 0.500 0.500
Te 0.000 0.500 0.000
Hg 0.000 0.000 0.500

Calculated values
The formation energy from raw total energies is 421 meV/atom. As for the space group: No. 123.


[9]
# ScCoRe2

An optimized crystal structure of ScCoRe2 (GGA-PBEsol, Alexandria via LeMat-Bulk).

a = 3.058 Å, b = 3.058 Å, c = 6.336 Å
α = 90.00°, β = 90.00°, γ = 90.00°
Site moments in Bohr magnetons follow the coordinates.
Sites, in units of the cell vectors:
Co 0.500 0.500 0.767  1.46
Re 0.000 0.000 0.997  0.32
Re 0.500 0.500 0.224  0.03
Sc 0.000 0.000 0.512  -0.04

Calculated values
Its formation energy is -0.141 eV/f.u. As for the space group: No. 99.


[10]
# Hg2TePt

An optimized crystal structure of Hg2TePt (GGA-PBEsol, Alexandria via LeMat-Bulk).

a = 4.903 Å, b = 4.903 Å, c = 4.903 Å
α = 60.00°, β = 60.00°, γ = 60.00°
Sites, in units of the cell vectors:
Hg 0.750 0.750 0.750
Hg 0.000 0.000 0.000
Te 0.250 0.250 0.250
Pt 0.500 0.500 0.500

Calculated values
The formation energy from raw total energies is 240 meV/atom. As for the space group: No. 216.


[11]
# Tl3Sn

An optimized crystal structure of Tl3Sn (GGA-PBEsol, Alexandria via LeMat-Bulk).

a = 5.537 Å, b = 6.803 Å, c = 6.803 Å
α = 120.00°, β = 90.00°, γ = 90.00°
Sites, in units of the cell vectors:
Sn 0.750 0.333 0.667
Tl 0.750 0.831 0.662
Tl 0.250 0.169 0.338
Sn 0.250 0.667 0.333
Tl 0.250 0.662 0.831
Tl 0.250 0.169 0.831
Tl 0.750 0.831 0.169
Tl 0.750 0.338 0.169

Calculated values
Its formation energy is 0.103 eV/f.u. As for the space group: No. 194.


[12]
# Bi3WS

An optimized crystal structure of Bi3WS (GGA-PBEsol, Alexandria via LeMat-Bulk).

a = 5.187 Å, b = 5.187 Å, c = 5.187 Å
α = 90.00°, β = 90.00°, γ = 90.00°
Site moments in Bohr magnetons follow the coordinates.
Sites, in units of the cell vectors:
W 0.500 0.500 0.500  2.53
S 0.000 0.000 0.000  0.00
Bi 0.500 0.000 0.000  -0.10
Bi 0.000 0.000 0.500  -0.10
Bi 0.000 0.500 0.000  -0.10

Calculated values
The formation energy from raw total energies is 1334 meV/atom. As for the space group: No. 221.


[13]
# SbTe2PtRh

An optimized crystal structure of SbTe2PtRh (GGA-PBEsol, Alexandria via LeMat-Bulk).

a = 4.875 Å, b = 5.089 Å, c = 5.089 Å
α = 90.00°, β = 90.00°, γ = 90.00°
Sites, in units of the cell vectors:
Te 0.000 0.000 0.500
Sb 0.500 0.000 0.000
Rh 0.000 0.000 0.000
Pt 0.500 0.500 0.500
Te 0.000 0.500 0.000

Calculated values
The formation energy from raw total energies is 710 meV/atom. As for the space group: No. 123.


[14]
# InP3Br

An optimized crystal structure of InP3Br (GGA-PBEsol, Alexandria via LeMat-Bulk).

a = 4.991 Å, b = 4.991 Å, c = 4.991 Å
α = 90.00°, β = 90.00°, γ = 90.00°
Sites, in units of the cell vectors:
P 0.000 0.500 0.000
P 0.500 0.000 0.000
P 0.000 0.000 0.500
In 0.000 0.000 0.000
Br 0.500 0.500 0.500

Calculated values
The formation energy from raw total energies is 1292 meV/atom. As for the space group: No. 221.


[15]
# Li3Cr2Co2O8

An optimized crystal structure of Li3Cr2Co2O8 (GGA-PBEsol, Alexandria via LeMat-Bulk).

a = 5.652 Å, b = 5.692 Å, c = 5.651 Å
α = 120.22°, β = 119.52°, γ = 90.03°
Site moments in Bohr magnetons follow the coordinates.
Sites, in units of the cell vectors:
O 0.780 0.759 0.523  -0.01
O 0.244 0.757 0.521  0.00
O 0.756 0.243 0.479  0.00
Cr 0.000 0.000 0.500  2.40
O 0.238 0.762 0.977  -0.01
O 0.759 0.780 0.017  -0.01
O 0.220 0.241 0.477  -0.01
Li 0.500 0.500 0.500  0.00
O 0.762 0.238 0.023  -0.01
Co 0.500 0.000 0.000  0.13
Li 0.500 0.000 0.500  0.00
Cr 0.000 0.000 0.000  2.20
Li 0.000 0.500 0.000  0.00
O 0.241 0.220 0.983  -0.01
Co 0.000 0.500 0.500  0.13

Calculated values
The formation energy from raw total energies is -1697 meV/atom. As for the space group: No. 12.


[16]
# BaTaCr2B

An optimized crystal structure of BaTaCr2B (GGA-PBEsol, Alexandria via LeMat-Bulk).

a = 4.356 Å, b = 4.356 Å, c = 4.544 Å
α = 90.00°, β = 90.00°, γ = 90.00°
Site moments in Bohr magnetons follow the coordinates.
Sites, in units of the cell vectors:
Cr 0.000 0.500 0.000  2.76
Ta 0.000 0.000 0.500  -0.26
Ba 0.500 0.500 0.500  0.05
Cr 0.500 0.000 0.000  2.76
B 0.000 0.000 0.000  -0.07

Calculated values
Its formation energy is 4.660 eV/f.u. As for the space group: No. 123.


[17]
# Mn2N

An optimized crystal structure of Mn2N (GGA-PBEsol, Alexandria via LeMat-Bulk).

a = 2.766 Å, b = 2.766 Å, c = 4.291 Å
α = 90.00°, β = 90.00°, γ = 120.00°
Site moments in Bohr magnetons follow the coordinates.
Sites, in units of the cell vectors:
Mn 0.667 0.333 0.754  2.08
N 0.000 0.000 0.500  -0.09
Mn 0.333 0.667 0.246  2.08

Calculated values
The formation energy from raw total energies is -276 meV/atom. As for the space group: No. 164.


[18]
# LaHSe

An optimized crystal structure of LaHSe (GGA-PBEsol, Alexandria via LeMat-Bulk).

a = 4.068 Å, b = 4.068 Å, c = 7.884 Å
α = 90.00°, β = 90.00°, γ = 120.00°
Sites, in units of the cell vectors:
Se 0.000 0.000 0.000
Se 0.000 0.000 0.500
La 0.667 0.333 0.250
H 0.667 0.333 0.750
H 0.333 0.667 0.250
La 0.333 0.667 0.750

Calculated values
As for the space group: No. 194.


[19]
# K2SrAuCl

An optimized crystal structure of K2SrAuCl (GGA-PBEsol, Alexandria via LeMat-Bulk).

a = 5.654 Å, b = 5.654 Å, c = 5.785 Å
α = 90.00°, β = 90.00°, γ = 90.00°
Sites, in units of the cell vectors:
Cl 0.000 0.000 0.000
Au 0.500 0.500 0.500
Sr 0.000 0.000 0.500
K 0.500 0.000 0.000
K 0.000 0.500 0.000

Calculated values
The formation energy from raw total energies is -585 meV/atom. As for the space group: No. 123.


[20]
# LiNbRu2

An optimized crystal structure of LiNbRu2 (GGA-PBEsol, Alexandria via LeMat-Bulk).

a = 4.283 Å, b = 4.283 Å, c = 4.283 Å
α = 60.00°, β = 60.00°, γ = 60.00°
Sites, in units of the cell vectors:
Ru 0.750 0.750 0.750
Li 0.000 0.000 0.000
Nb 0.500 0.500 0.500
Ru 0.250 0.250 0.250

Calculated values
Its formation energy is -0.103 eV/f.u. As for the space group: No. 225.


Values for raw total energy, eV per atom, ordered as above
-4.45; -4.25; -5.21; -5.56; -3.77; -5.29; -7.33; -2.57; -10.29; -2.67; -3.01; -4.88; -4.63; -3.15; -7.29; -7.51; -9.63; -5.72; -2.59; -8.31
Values for magnetic moment, μB/f.u., ordered as above
0.00; 0.20; 0.00; 0.00; 1.46; 1.18; 0.00; 0.00; 1.79; 0.00; 0.00; 3.04; 0.00; 0.00; 4.98; 5.71; 4.08; 0.00; 0.00; 0.00